First-principles (GGA-PBE) data for an optimized crystal structure of Al2InFe2, as listed in the Alexandria database.

a b c (Å): 3.6633 3.6633 6.3366
angles (deg): 73.20 73.20 90.00
Closest atoms and distances in Å follow each position.
Fractional positions:
In 0.0000 0.0000 0.0000  8 Fe 2.83
Fe 0.5988 0.5988 0.8025  1 Fe 2.28, 4 Al 2.53
Fe 0.4012 0.4012 0.1975  1 Fe 2.28, 4 Al 2.53
Al 0.2500 0.7500 0.5000  4 Fe 2.53, 4 Al 2.59
Al 0.7500 0.2500 0.5000  4 Fe 2.53, 4 Al 2.59

## Properties
Symmetry ... No. 139
Relative energy among the computed polymorphs ... 121.3 meV/atom
M_tot ... 2.63 μB/f.u.
E_form ... 103 meV per atom
Crystal system ... tetragonal
Total energy ... -26.63 eV per cell